Record 1
DFT (GGA-PBE) results for crystalline AlNi2PdAu at its relaxed geometry.

Properties
* formation energy: 0.782 eV per atom
* space group: P4/mmm

a b c (Å): 4.598 4.598 4.532
angles (deg): 90.00 90.00 90.00
Atoms (fractional coordinates):
Al  0.000  0.000  0.000
Ni  0.000  0.500  0.500
Ni  0.500  0.000  0.500
Pd  0.000  0.000  0.500
Au  0.500  0.500  0.000

---

Record 2
DFT (GGA-PBE) results for crystalline AlNiPdAu at its relaxed geometry.

Properties
* formation energy: -0.390 eV per atom
* space group: F-43m

a b c (Å): 4.345 4.345 4.345
angles (deg): 60.00 60.00 60.00
Atoms (fractional coordinates):
Al  0.000  0.000  0.000
Ni  0.500  0.500  0.500
Pd  0.250  0.250  0.250
Au  0.750  0.750  0.750

---

Record 3
DFT (GGA-PBE) results for crystalline PmAl3NiAu at its relaxed geometry.

Properties
* formation energy: -0.454 eV per atom
* space group: Cmcm

a b c (Å): 6.868 6.868 5.950
angles (deg): 90.00 90.00 126.91
Atoms (fractional coordinates):
Pm  0.225  0.775  0.750
Pm  0.775  0.225  0.250
Al  0.217  0.217  0.000
Al  0.217  0.217  0.500
Al  0.364  0.636  0.250
Al  0.636  0.364  0.750
Al  0.783  0.783  0.000
Al  0.783  0.783  0.500
Ni  0.438  0.562  0.750
Ni  0.562  0.438  0.250
Au  0.153  0.847  0.250
Au  0.847  0.153  0.750

---

Record 4
DFT (GGA-PBE) results for crystalline Pm2Al4NiAu3 at its relaxed geometry.

Properties
* formation energy: -0.689 eV per atom
* space group: P-4m2

a b c (Å): 4.330 4.330 10.504
angles (deg): 90.00 90.00 90.00
Atoms (fractional coordinates):
Pm  0.000  0.500  0.242
Pm  0.500  0.000  0.758
Al  0.000  0.000  0.500
Al  0.000  0.500  0.879
Al  0.500  0.000  0.121
Al  0.500  0.500  0.500
Ni  0.500  0.500  0.000
Au  0.000  0.000  0.000
Au  0.000  0.500  0.638
Au  0.500  0.000  0.362

---

Record 5
DFT (GGA-PBE) results for crystalline PrAl4NiAu2 at its relaxed geometry.

Properties
* formation energy: -0.525 eV per atom
* space group: R-3m

a b c (Å): 9.236 9.236 9.236
angles (deg): 27.17 27.17 27.17
Atoms (fractional coordinates):
Pr  0.000  0.000  0.000
Al  0.137  0.137  0.137
Al  0.407  0.407  0.407
Al  0.593  0.593  0.593
Al  0.863  0.863  0.863
Ni  0.500  0.500  0.500
Au  0.241  0.241  0.241
Au  0.759  0.759  0.759

---

Record 6
DFT (GGA-PBE) results for crystalline Pr2Al4NiAu3 at its relaxed geometry.

Properties
* formation energy: -0.686 eV per atom
* space group: P-4m2

a b c (Å): 4.377 4.377 10.470
angles (deg): 90.00 90.00 90.00
Atoms (fractional coordinates):
Pr  0.000  0.500  0.242
Pr  0.500  0.000  0.758
Al  0.000  0.000  0.500
Al  0.000  0.500  0.880
Al  0.500  0.000  0.120
Al  0.500  0.500  0.500
Ni  0.500  0.500  0.000
Au  0.000  0.000  0.000
Au  0.000  0.500  0.636
Au  0.500  0.000  0.364

---

Record 7
DFT (GGA-PBE) results for crystalline AlNiPtAu2 at its relaxed geometry.

Properties
* formation energy: 0.572 eV per atom
* space group: P4/mmm

a b c (Å): 4.704 4.704 4.255
angles (deg): 90.00 90.00 90.00
Atoms (fractional coordinates):
Al  0.000  0.000  0.000
Ni  0.000  0.000  0.500
Pt  0.500  0.500  0.000
Au  0.000  0.500  0.500
Au  0.500  0.000  0.500

---

Record 8
DFT (GGA-PBE) results for crystalline PuAlNiAu at its relaxed geometry.

Properties
* formation energy: -0.272 eV per atom
* space group: R3m

a b c (Å): 5.767 5.767 5.767
angles (deg): 42.53 42.53 42.53
Atoms (fractional coordinates):
Pu  0.000  0.000  0.000
Al  0.203  0.203  0.203
Ni  0.555  0.555  0.555
Au  0.797  0.797  0.797

---

The highest formation energy belongs to which entry?
AlNi2PdAu

---

Look up the formation energy of the fifth one.
-0.525 eV per atom

---

Which of these has the lowest formation energy?
Pm2Al4NiAu3

---

What did the fourth record say?
DFT (GGA-PBE) results for crystalline Pm2Al4NiAu3 at its relaxed geometry.

Properties
* formation energy: -0.689 eV per atom
* space group: P-4m2

a b c (Å): 4.330 4.330 10.504
angles (deg): 90.00 90.00 90.00
Atoms (fractional coordinates):
Pm  0.000  0.500  0.242
Pm  0.500  0.000  0.758
Al  0.000  0.000  0.500
Al  0.000  0.500  0.879
Al  0.500  0.000  0.121
Al  0.500  0.500  0.500
Ni  0.500  0.500  0.000
Au  0.000  0.000  0.000
Au  0.000  0.500  0.638
Au  0.500  0.000  0.362